1.
Computed, not measured: FeSiOs2 at its PBEsol-relaxed geometry at the SCAN level of DFT.

Unit cell a=4.1533 b=4.1533 c=2.9084 alpha=90.00 beta=90.00 gamma=90.00
Atoms (fractional coordinates):
Fe1 0.0000 0.0000 0.0000
Si1 0.5000 0.5000 0.0000
Os1 0.0000 0.5000 0.5000
Os2 0.5000 0.0000 0.5000

Summary:
Energy relative to the elements, uncorrected   -0.25 eV per atom

***

2.
Computed, not measured: BeCd4In at its PBEsol-relaxed geometry at the SCAN level of DFT.

Unit cell a=5.6493 b=5.6493 c=5.6493 alpha=60.00 beta=60.00 gamma=60.00
Atoms (fractional coordinates):
Be1 0.0000 0.0000 0.0000
Cd1 0.3745 0.3745 0.3745
Cd2 0.3745 0.3745 0.8764
Cd3 0.3745 0.8764 0.3745
Cd4 0.8764 0.3745 0.3745
In1 0.7500 0.7500 0.7500

Summary:
ΔE_f   0.444 eV per atom